# 1
# Nb3HBr PBE optimized geometry
# **DFT total energy**: -6.58 eV per atom
# **Volume**: 77.7 Å³/cell
data_Nb3HBr
_cell_length_a 4.266
_cell_length_b 4.266
_cell_length_c 4.266
_cell_angle_alpha 90.00
_cell_angle_beta 90.00
_cell_angle_gamma 90.00
_space_group_name_H-M_alt 'P m -3 m'
_space_group_IT_number 221
_space_group_name_Hall '-P 4 2 3'
loop_
_atom_site_label
_atom_site_type_symbol
_atom_site_fract_x
_atom_site_fract_y
_atom_site_fract_z
_atom_site_occupancy
Nb1 Nb 0.000 0.000 0.500 1
H1 H 0.000 0.000 0.000 1
Br1 Br 0.500 0.500 0.500 1

***

# 2
# HfScTi2N PBE optimized geometry
# **DFT total energy**: -8.69 eV per atom
# **Volume**: 81.0 Å³/cell
# **Uncorrected formation energy**: -0.612 eV/atom
data_HfScTi2N
_cell_length_a 4.227
_cell_length_b 4.227
_cell_length_c 4.533
_cell_angle_alpha 90.00
_cell_angle_beta 90.00
_cell_angle_gamma 90.00
_space_group_name_H-M_alt 'P 4/m m m'
_space_group_IT_number 123
_space_group_name_Hall '-P 4 2'
loop_
_atom_site_label
_atom_site_type_symbol
_atom_site_fract_x
_atom_site_fract_y
_atom_site_fract_z
_atom_site_occupancy
Hf1 Hf 0.000 0.000 0.000 1
Sc1 Sc 0.500 0.500 0.000 1
Ti1 Ti 0.000 0.500 0.500 1
N1 N 0.500 0.500 0.500 1